(1)
A relaxed TbTmCd5 crystal, computed with GGA-PBE.

* symmetry: No. 123
* ΔE_f: -57 kJ/mol of formula units

Cell: 5.112 5.112 6.917 Å, 90.00 90.00 90.00°
Sites, in units of the cell vectors:
1 Tb 0.000 0.000 0.000
2 Tm 0.500 0.500 0.500
3 Cd 0.000 0.500 0.269
4 Cd 0.000 0.500 0.731
5 Cd 0.500 0.000 0.269
6 Cd 0.500 0.000 0.731
7 Cd 0.500 0.500 0.000

---

(2)
A relaxed Li7B8C8 crystal, computed with GGA-PBE.

* symmetry: No. 12
* ΔE_f: -667 kJ/mol of formula units

Cell: 14.517 14.517 4.729 Å, 98.78 98.78 10.84°
Sites, in units of the cell vectors:
1 Li 0.000 0.000 0.000
2 Li 0.125 0.125 0.136
3 Li 0.250 0.250 0.250
4 Li 0.375 0.375 0.366
5 Li 0.625 0.625 0.634
6 Li 0.750 0.750 0.750
7 Li 0.875 0.875 0.864
8 B 0.062 0.062 0.411
9 B 0.188 0.188 0.859
10 B 0.312 0.312 0.641
11 B 0.435 0.435 0.091
12 B 0.565 0.565 0.909
13 B 0.688 0.688 0.359
14 B 0.812 0.812 0.141
15 B 0.938 0.938 0.589
16 C 0.066 0.066 0.748
17 C 0.188 0.188 0.525
18 C 0.312 0.312 0.975
19 C 0.437 0.437 0.756
20 C 0.563 0.563 0.244
21 C 0.688 0.688 0.025
22 C 0.812 0.812 0.475
23 C 0.934 0.934 0.252

---

(3)
A relaxed Er3Te12Pd5 crystal, computed with GGA-PBE.

* symmetry: No. 230
* uncorrected formation energy: -11.2 eV/f.u.

Cell: 14.525 14.525 14.525 Å, 109.47 109.47 109.47°
Sites, in units of the cell vectors:
1 Er 0.125 0.250 0.375
2 Er 0.125 0.375 0.750
3 Er 0.250 0.375 0.125
4 Er 0.250 0.875 0.625
5 Er 0.375 0.125 0.250
6 Er 0.375 0.750 0.125
7 Er 0.625 0.250 0.875
8 Er 0.625 0.875 0.750
9 Er 0.750 0.125 0.375
10 Er 0.750 0.625 0.875
11 Er 0.875 0.625 0.250
12 Er 0.875 0.750 0.625
13 Te 0.039 0.210 0.127
14 Te 0.039 0.329 0.912
15 Te 0.082 0.710 0.671
16 Te 0.082 0.873 0.412
17 Te 0.088 0.627 0.418
18 Te 0.088 0.961 0.671
19 Te 0.127 0.039 0.210
20 Te 0.127 0.588 0.918
21 Te 0.171 0.210 0.582
22 Te 0.171 0.461 0.588
23 Te 0.210 0.127 0.039
24 Te 0.210 0.582 0.171
25 Te 0.290 0.329 0.918
26 Te 0.290 0.461 0.373
27 Te 0.329 0.912 0.039
28 Te 0.329 0.918 0.290
29 Te 0.373 0.290 0.461
30 Te 0.373 0.582 0.912
31 Te 0.412 0.082 0.873
32 Te 0.412 0.829 0.539
33 Te 0.418 0.088 0.627
34 Te 0.418 0.829 0.790
35 Te 0.461 0.373 0.290
36 Te 0.461 0.588 0.171
37 Te 0.539 0.412 0.829
38 Te 0.539 0.627 0.710
39 Te 0.582 0.171 0.210
40 Te 0.582 0.912 0.373
41 Te 0.588 0.171 0.461
42 Te 0.588 0.918 0.127
43 Te 0.627 0.418 0.088
44 Te 0.627 0.710 0.539
45 Te 0.671 0.082 0.710
46 Te 0.671 0.088 0.961
47 Te 0.710 0.539 0.627
48 Te 0.710 0.671 0.082
49 Te 0.790 0.418 0.829
50 Te 0.790 0.873 0.961
51 Te 0.829 0.539 0.412
52 Te 0.829 0.790 0.418
53 Te 0.873 0.412 0.082
54 Te 0.873 0.961 0.790
55 Te 0.912 0.039 0.329
56 Te 0.912 0.373 0.582
57 Te 0.918 0.127 0.588
58 Te 0.918 0.290 0.329
59 Te 0.961 0.671 0.088
60 Te 0.961 0.790 0.873
61 Pd 0.000 0.000 0.000
62 Pd 0.000 0.000 0.500
63 Pd 0.000 0.500 0.000
64 Pd 0.000 0.500 0.500
65 Pd 0.125 0.750 0.875
66 Pd 0.125 0.875 0.250
67 Pd 0.250 0.125 0.875
68 Pd 0.250 0.625 0.375
69 Pd 0.375 0.250 0.625
70 Pd 0.375 0.625 0.750
71 Pd 0.500 0.000 0.000
72 Pd 0.500 0.000 0.500
73 Pd 0.500 0.500 0.000
74 Pd 0.500 0.500 0.500
75 Pd 0.625 0.375 0.250
76 Pd 0.625 0.750 0.375
77 Pd 0.750 0.375 0.625
78 Pd 0.750 0.875 0.125
79 Pd 0.875 0.125 0.750
80 Pd 0.875 0.250 0.125